No. 1
La4NiSBr2 | GGA-PBE | optimized geometry

## Properties
- E: -5.4311 eV/atom
- Crystal system: monoclinic

abc: 7.3981 4.0477 7.9345
angles: 90.00 107.76 90.00
Closest atoms and distances in Å follow each position.
Space group P2/m (No. 10)
One atom of each set of equivalent atoms:
La1 0.2216 0.0000 0.2023 (multiplicity 2)  2 Ni 2.78, 1 S 2.97
La2 0.2694 0.5000 0.7878 (multiplicity 2)  2 S 2.84, 1 Ni 2.98
Ni1 0.0000 0.5000 0.0000 (multiplicity 1)  6 La 2.78-2.98
S1 0.5000 0.0000 0.0000 (multiplicity 1)  6 La 2.84-2.97
Br1 0.0000 0.0000 0.5000 (multiplicity 1)  6 La 3.24-3.26
Br2 0.5000 0.5000 0.5000 (multiplicity 1)  6 La 3.24-3.31

No. 2
La6Ni2SBr3 | GGA-PBE | optimized geometry

## Properties
- E: -5.3484 eV/atom
- Crystal system: monoclinic

abc: 7.2981 12.5585 7.9133
angles: 90.00 107.89 90.00
Closest atoms and distances in Å follow each position.
Space group C2/m (No. 12)
One atom of each set of equivalent atoms:
La1 0.2202 0.0000 0.2012 (multiplicity 4)  2 Ni 2.82, 1 S 2.95
La2 0.2412 0.3267 0.2043 (multiplicity 8)  2 Ni 2.82-2.84, 1 S 2.95
Ni1 0.0000 0.1673 0.0000 (multiplicity 4)  6 La 2.82-2.84
S1 0.0000 0.5000 0.0000 (multiplicity 2)  6 La 2.95
Br1 0.0000 0.0000 0.5000 (multiplicity 2)  6 La 3.24-3.33
Br2 0.0000 0.3398 0.5000 (multiplicity 4)  6 La 3.27-3.34

No. 3
La6NiS2Br3 | GGA-PBE | optimized geometry

## Properties
- E: -5.5022 eV/atom
- Crystal system: monoclinic

abc: 7.2239 12.4927 7.8130
angles: 90.00 108.07 90.00
Closest atoms and distances in Å follow each position.
Space group C2/m (No. 12)
One atom of each set of equivalent atoms:
La1 0.2354 0.1649 0.2101 (multiplicity 8)  1 Ni 2.85, 2 S 2.88
La2 0.2378 0.5000 0.2124 (multiplicity 4)  2 S 2.88, 1 Ni 2.88
Ni1 0.0000 0.0000 0.0000 (multiplicity 2)  6 La 2.85-2.88
S1 0.0000 0.3332 0.0000 (multiplicity 4)  6 La 2.88
Br1 0.0000 0.1685 0.5000 (multiplicity 4)  6 La 3.23
Br2 0.0000 0.5000 0.5000 (multiplicity 2)  6 La 3.22

No. 4
La4NiS2Br | GGA-PBE | optimized geometry

## Properties
- E: -5.8881 eV/atom
- Crystal system: monoclinic

abc: 7.3865 4.0832 7.4269
angles: 90.00 109.06 90.00
Closest atoms and distances in Å follow each position.
Space group P2/m (No. 10)
One atom of each set of equivalent atoms:
La1 0.2271 0.0000 0.2342 (multiplicity 2)  3 S 2.85-2.98, 1 Ni 3.06, 2 Br 3.09
La2 0.2556 0.5000 0.7684 (multiplicity 2)  2 Ni 2.89, 3 S 2.94-3.04, 1 Br 3.10
Ni1 0.5000 0.0000 0.0000 (multiplicity 1)  6 La 2.89-3.06
S1 0.0000 0.0000 0.5000 (multiplicity 1)  6 La 2.98-3.04
S2 0.0000 0.5000 0.0000 (multiplicity 1)  6 La 2.85-2.94
Br1 0.5000 0.5000 0.5000 (multiplicity 1)  6 La 3.09-3.10

No. 5
La6NiSe2Br3 | GGA-PBE | optimized geometry

## Properties
- E: -5.3263 eV/atom
- Crystal system: monoclinic

abc: 7.5048 12.9265 7.6078
angles: 90.00 109.35 90.00
Closest atoms and distances in Å follow each position.
Space group C2/m (No. 12)
One atom of each set of equivalent atoms:
La1 0.2311 0.1575 0.2179 (multiplicity 8)  1 Ni 2.83, 2 Se 3.01, 1 Br 3.15
La2 0.2462 0.0000 0.7705 (multiplicity 4)  1 Ni 2.93, 2 Se 3.01, 3 Br 3.21-3.23
Ni1 0.0000 0.0000 0.0000 (multiplicity 2)  6 La 2.83-2.93
Se1 0.0000 0.3339 0.0000 (multiplicity 4)  6 La 3.01
Br1 0.0000 0.1764 0.5000 (multiplicity 4)  6 La 3.18-3.23
Br2 0.0000 0.5000 0.5000 (multiplicity 2)  6 La 3.15-3.23

No. 6
LaNiSe2Br | GGA-PBE | optimized geometry

## Properties
- E: -3.3309 eV/atom
- Crystal system: tetragonal
- Offset from the most stable computed form: 1.491 eV/atom

abc: 5.3671 5.3671 5.4449
angles: 90.00 90.00 90.00
Closest atoms and distances in Å follow each position.
Space group P4/mmm (No. 123)
One atom of each set of equivalent atoms:
La1 0.0000 0.0000 0.0000 (multiplicity 1)  2 Br 2.72
Ni1 0.5000 0.5000 0.0000 (multiplicity 1)  4 La 3.80, 8 Se 3.82
Se1 0.0000 0.5000 0.5000 (multiplicity 2)  2 Br 2.68
Br1 0.0000 0.0000 0.5000 (multiplicity 1)  4 Se 2.68, 2 La 2.72

No. 7
La4NiSe2Br | GGA-PBE | optimized geometry

## Properties
- E: -5.6531 eV/atom
- Crystal system: monoclinic

abc: 7.5567 4.1578 7.5654
angles: 90.00 108.94 90.00
Closest atoms and distances in Å follow each position.
Space group P2/m (No. 10)
One atom of each set of equivalent atoms:
La1 0.2312 0.0000 0.2246 (multiplicity 2)  2 Ni 2.89, 3 Se 3.04-3.17, 1 Br 3.12
La2 0.2594 0.5000 0.7613 (multiplicity 2)  3 Se 2.96-3.09, 1 Ni 3.07, 2 Br 3.09
Ni1 0.0000 0.5000 0.0000 (multiplicity 1)  6 La 2.89-3.07
Se1 0.5000 0.0000 0.0000 (multiplicity 1)  6 La 2.96-3.04
Se2 0.5000 0.5000 0.5000 (multiplicity 1)  6 La 3.09-3.17
Br1 0.0000 0.0000 0.5000 (multiplicity 1)  6 La 3.09-3.12

No. 8
La8NiSe3Br4 | GGA-PBE | optimized geometry

## Properties
- E: -5.3443 eV/atom
- Crystal system: trigonal

abc: 8.6539 8.6539 21.4561
angles: 90.00 90.00 120.00
Closest atoms and distances in Å follow each position.
Space group R-3m (No. 166, hexagonal axes)
One atom of each set of equivalent atoms:
La1 0.0000 0.0000 0.2430 (multiplicity 6)  3 Se 2.99, 3 Br 3.16
La2 0.0159 0.5079 0.2403 (multiplicity 18)  1 Ni 2.86, 2 Se 3.01, 2 Br 3.15
Ni1 0.0000 0.0000 0.5000 (multiplicity 3)  6 La 2.86
Se1 0.0000 0.5000 0.5000 (multiplicity 9)  6 La 2.99-3.01
Br1 0.0000 0.0000 0.0000 (multiplicity 3)  6 La 3.29
Br2 0.0000 0.5000 0.0000 (multiplicity 9)  6 La 3.15-3.16

No. 9
LaNiSe2Br | GGA-PBE | optimized geometry

## Properties
- E: -4.8219 eV/atom
- Crystal system: tetragonal
- Offset from the most stable computed form: 0.000 eV/atom

abc: 4.8836 4.8836 4.7534
angles: 90.00 90.00 90.00
Closest atoms and distances in Å follow each position.
Space group P4/mmm (No. 123)
One atom of each set of equivalent atoms:
La1 0.0000 0.0000 0.0000 (multiplicity 1)  8 Se 3.41, 4 Br 3.45
Ni1 0.5000 0.5000 0.5000 (multiplicity 1)  2 Br 2.38, 4 Se 2.44
Se1 0.0000 0.5000 0.5000 (multiplicity 2)  2 Ni 2.44
Br1 0.5000 0.5000 0.0000 (multiplicity 1)  2 Ni 2.38

No. 10
La4SiNiBr2 | GGA-PBE | optimized geometry

## Properties
- E: -5.2490 eV/atom
- Crystal system: monoclinic

abc: 7.6793 4.1583 7.8298
angles: 90.00 107.51 90.00
Closest atoms and distances in Å follow each position.
Space group P2/m (No. 10)
One atom of each set of equivalent atoms:
La1 0.2188 0.0000 0.1990 (multiplicity 2)  2 Ni 2.83, 1 Si 3.02
La2 0.2611 0.5000 0.7796 (multiplicity 2)  2 Si 2.96, 1 Ni 3.01, 3 Br 3.24-3.25
Si1 0.5000 0.0000 0.0000 (multiplicity 1)  6 La 2.96-3.02
Ni1 0.0000 0.5000 0.0000 (multiplicity 1)  6 La 2.83-3.01
Br1 0.0000 0.0000 0.5000 (multiplicity 1)  6 La 3.24-3.28
Br2 0.5000 0.5000 0.5000 (multiplicity 1)  6 La 3.25-3.39

No. 11
La2TaNiBr | GGA-PBE | optimized geometry

## Properties
- E: -5.7494 eV/atom
- Crystal system: tetragonal

abc: 5.7877 5.7877 4.4761
angles: 90.00 90.00 90.00
Closest atoms and distances in Å follow each position.
Space group P4/mmm (No. 123)
One atom of each set of equivalent atoms:
La1 0.0000 0.5000 0.0000 (multiplicity 2)  2 Ni 2.89
Ta1 0.0000 0.0000 0.5000 (multiplicity 1)  2 Ni 2.24
Ni1 0.0000 0.0000 0.0000 (multiplicity 1)  2 Ta 2.24
Br1 0.5000 0.5000 0.5000 (multiplicity 1)  8 La 3.66, 4 Ta 4.09

No. 12
La6Tc2NiBr3 | GGA-PBE | optimized geometry

## Properties
- E: -5.8216 eV/atom
- Crystal system: monoclinic

abc: 20.0216 4.2450 9.1414
angles: 90.00 114.35 90.00
Closest atoms and distances in Å follow each position.
Space group C2/m (No. 12)
One atom of each set of equivalent atoms:
La1 0.0089 0.0000 0.2190 (multiplicity 4)  1 Tc 2.57, 2 Ni 2.87
La2 0.1598 0.5000 0.1141 (multiplicity 4)  2 Tc 2.76, 1 Ni 2.93
La3 0.1792 0.5000 0.5450 (multiplicity 4)  3 Tc 2.99-3.16
Tc1 0.1478 0.0000 0.2941 (multiplicity 4)  3 La 2.57-2.76
Ni1 0.0000 0.5000 0.0000 (multiplicity 2)  6 La 2.87-2.93
Br1 0.0000 0.5000 0.5000 (multiplicity 2)  6 La 3.39-3.44
Br2 0.1682 0.0000 0.8226 (multiplicity 4)  6 La 3.25-3.47

Record order is preserved below.
Size of the total moment: 0.000, 0.000, 0.000, 0.000, 0.000, 0.138, 0.000, 0.000, 0.000, 0.000, 0.001, 0.000 μB/atom
Record order is preserved below.
N(E_F): 0.560, 0.800, 0.866, 0.651, 0.822, 0.919, 0.694, 0.908, 0.398, 0.917, 1.386, 0.451 states/eV/atom
Record order is preserved below.
E_form (uncorrected): -1.3106, -1.1589, -1.4505, -1.4607, -1.3818, 0.5393, -1.3865, -1.4477, -0.9517, -0.9665, 0.0829, -0.7302 eV/atom